VASP calculation (PBE-GGA) on a relaxed Ce3Pr5O12 crystal.

Summary:
Crystal system: cubic
Space-group type: No. 230
E_form (uncorrected): -3049 meV per atom
D(E_F): 1.08 states/eV/atom

Unit cell a=12.2306 b=12.2306 c=12.2306 alpha=109.47 beta=109.47 gamma=109.47
Closest atoms and distances in Å follow each position.
Sites, in units of the cell vectors:
Ce (0.2500, 0.1250, 0.3750)  8 O 2.57-2.68
Ce (0.7500, 0.8750, 0.6250)  8 O 2.57-2.68
Ce (0.1250, 0.2500, 0.8750)  8 O 2.57-2.68
Ce (0.2500, 0.6250, 0.8750)  8 O 2.57-2.68
Ce (0.1250, 0.8750, 0.7500)  8 O 2.57-2.68
Ce (0.3750, 0.6250, 0.2500)  8 O 2.57-2.68
Ce (0.6250, 0.3750, 0.7500)  8 O 2.57-2.68
Ce (0.6250, 0.2500, 0.3750)  8 O 2.57-2.68
Ce (0.8750, 0.7500, 0.1250)  8 O 2.57-2.68
Ce (0.3750, 0.7500, 0.6250)  8 O 2.57-2.68
Ce (0.7500, 0.3750, 0.1250)  8 O 2.57-2.68
Ce (0.8750, 0.1250, 0.2500)  8 O 2.57-2.68
Pr (0.0000, 0.0000, 0.5000)  6 O 2.40
Pr (0.5000, 0.5000, 0.0000)  6 O 2.40
Pr (0.2500, 0.3750, 0.6250)  4 O 2.24
Pr (0.7500, 0.6250, 0.3750)  4 O 2.24
Pr (0.5000, 0.0000, 0.0000)  6 O 2.40
Pr (0.1250, 0.3750, 0.2500)  4 O 2.24
Pr (0.0000, 0.0000, 0.0000)  6 O 2.40
Pr (0.2500, 0.8750, 0.1250)  4 O 2.24
Pr (0.0000, 0.5000, 0.5000)  6 O 2.40
Pr (0.1250, 0.7500, 0.3750)  4 O 2.24
Pr (0.8750, 0.6250, 0.7500)  4 O 2.24
Pr (0.7500, 0.1250, 0.8750)  4 O 2.24
Pr (0.6250, 0.7500, 0.8750)  4 O 2.24
Pr (0.5000, 0.5000, 0.5000)  6 O 2.40
Pr (0.8750, 0.2500, 0.6250)  4 O 2.24
Pr (0.6250, 0.8750, 0.2500)  4 O 2.24
Pr (0.5000, 0.0000, 0.5000)  6 O 2.40
Pr (0.3750, 0.2500, 0.1250)  4 O 2.24
Pr (0.3750, 0.1250, 0.7500)  4 O 2.24
Pr (0.0000, 0.5000, 0.0000)  6 O 2.40
O (0.1312, 0.7241, 0.5495)  2 Pr 2.24-2.40
O (0.8255, 0.9072, 0.2759)  2 Pr 2.24-2.40
O (0.8688, 0.2759, 0.4505)  2 Pr 2.24-2.40
O (0.9183, 0.8255, 0.5495)  2 Pr 2.24-2.40
O (0.0817, 0.9072, 0.1312)  2 Pr 2.24-2.40
O (0.0817, 0.1745, 0.4505)  2 Pr 2.24-2.40
O (0.1745, 0.0928, 0.7241)  2 Pr 2.24-2.40
O (0.9505, 0.5817, 0.1745)  2 Pr 2.24-2.40
O (0.4505, 0.7759, 0.8688)  2 Pr 2.24-2.40
O (0.7241, 0.5928, 0.1745)  2 Pr 2.24-2.40
O (0.5817, 0.9505, 0.6745)  2 Pr 2.24-2.40
O (0.2241, 0.6745, 0.0928)  2 Pr 2.24-2.40
O (0.0495, 0.4183, 0.8255)  2 Pr 2.24-2.40
O (0.4072, 0.1312, 0.5817)  2 Pr 2.24-2.40
O (0.6745, 0.4505, 0.5817)  2 Pr 2.24-2.40
O (0.9183, 0.0928, 0.8688)  2 Pr 2.24-2.40
O (0.9072, 0.0817, 0.6312)  2 Pr 2.24-2.40
O (0.4183, 0.0495, 0.3255)  2 Pr 2.24-2.40
O (0.8255, 0.9183, 0.0495)  2 Pr 2.24-2.40
O (0.2241, 0.5495, 0.6312)  2 Pr 2.24-2.40
O (0.5928, 0.7241, 0.6745)  2 Pr 2.24-2.40
O (0.4183, 0.3688, 0.5928)  2 Pr 2.24-2.40
O (0.6312, 0.0495, 0.2241)  2 Pr 2.24-2.40
O (0.9072, 0.8255, 0.7759)  2 Pr 2.24-2.40
O (0.6312, 0.5817, 0.9072)  2 Pr 2.24-2.40
O (0.1745, 0.0817, 0.9505)  2 Pr 2.24-2.40
O (0.0928, 0.9183, 0.3688)  2 Pr 2.24-2.40
O (0.2759, 0.4072, 0.8255)  2 Pr 2.24-2.40
O (0.7241, 0.1312, 0.0495)  2 Pr 2.24-2.40
O (0.7759, 0.3255, 0.9072)  2 Pr 2.24-2.40
O (0.6745, 0.2241, 0.5928)  2 Pr 2.24-2.40
O (0.9505, 0.3688, 0.2759)  2 Pr 2.24-2.40
O (0.3688, 0.9505, 0.7759)  2 Pr 2.24-2.40
O (0.3255, 0.5495, 0.4183)  2 Pr 2.24-2.40
O (0.2759, 0.8688, 0.9505)  2 Pr 2.24-2.40
O (0.3255, 0.7759, 0.4072)  2 Pr 2.24-2.40
O (0.5495, 0.2241, 0.1312)  2 Pr 2.24-2.40
O (0.5495, 0.3255, 0.9183)  2 Pr 2.24-2.40
O (0.4072, 0.2759, 0.3255)  2 Pr 2.24-2.40
O (0.1312, 0.4072, 0.0817)  2 Pr 2.24-2.40
O (0.8688, 0.5928, 0.9183)  2 Pr 2.24-2.40
O (0.7759, 0.4505, 0.3688)  2 Pr 2.24-2.40
O (0.0495, 0.6312, 0.7241)  2 Pr 2.24-2.40
O (0.4505, 0.6745, 0.0817)  2 Pr 2.24-2.40
O (0.5928, 0.8688, 0.4183)  2 Pr 2.24-2.40
O (0.5817, 0.6312, 0.4072)  2 Pr 2.24-2.40
O (0.0928, 0.1745, 0.2241)  2 Pr 2.24-2.40
O (0.3688, 0.4183, 0.0928)  2 Pr 2.24-2.40